1.
This record from Alexandria describes a geometry-optimized Be3FeN structure. The functional is PBE.

The calculation puts the uncorrected formation energy at 1.834 eV/atom. The excess energy over the best structure of this formula in the dataset is 1.677 eV per atom.

The structure belongs to space group Pm-3m (No. 221); the cell edges are 3.936, 3.936 and 3.936 Å and the angles 90.00°, 90.00° and 90.00°. The asymmetric unit holds Be at (0.000, 0.000, 0.500), Fe at (0.000, 0.000, 0.000) and N at (0.500, 0.500, 0.500).

2.
This record from Alexandria describes a geometry-optimized Ho2ZnCu7 structure. The functional is PBE.

The calculation puts the formation energy at -0.1582 eV per atom.

The structure belongs to space group P-4m2 (No. 115); the cell edges are 3.780, 3.780 and 11.274 Å and the angles 90.00°, 90.00° and 90.00°. The asymmetric unit holds Ho at (0.000, 0.500, 0.243), Zn at (0.000, 0.000, 0.500), Cu at (0.000, 0.000, 0.000), Cu at (0.000, 0.500, 0.647), Cu at (0.000, 0.500, 0.862), Cu at (0.500, 0.500, 0.000) and Cu at (0.500, 0.500, 0.500).

3.
This record from Alexandria describes a geometry-optimized Li4AgSb3Pb2 structure. The functional is PBE.

The calculation puts the uncorrected formation energy at -0.265 eV/atom.

The structure belongs to space group P-4m2 (No. 115); the cell edges are 4.307, 4.307 and 12.693 Å and the angles 90.00°, 90.00° and 90.00°. The asymmetric unit holds Li at (0.000, 0.000, 0.000), Li at (0.000, 0.500, 0.359), Li at (0.500, 0.500, 0.000), Ag at (0.500, 0.500, 0.500), Sb at (0.000, 0.000, 0.500), Sb at (0.000, 0.500, 0.146) and Pb at (0.000, 0.500, 0.753).

4.
This record from Alexandria describes a geometry-optimized Rh5W3 structure. The functional is PBE.

The calculation puts the formation energy at 0.1256 eV per atom. The excess energy over the best structure of this formula in the dataset is 0.293 eV per atom.

The structure belongs to space group P2_1/m (No. 11); the cell edges are 6.316, 5.019 and 8.455 Å and the angles 90.00°, 110.52° and 90.00°. The asymmetric unit holds Rh at (0.006, 0.250, 0.263), Rh at (0.194, 0.750, 0.496), Rh at (0.257, 0.250, 0.762), Rh at (0.360, 0.001, 0.221), W at (0.015, 0.250, 0.946), W at (0.384, 0.250, 0.504) and W at (0.403, 0.750, 0.930).